Entry 1:
A plane-wave DFT calculation with PBE was carried out for a geometry-optimized PrEr2Sb structure. Values from VASP.

## Properties
- offset from the most stable computed form (kcal/mol of atoms) = 5.27
- ΔE_f (raw) (eV/atom) = -0.329

```
&SYSTEM
  ibrav = 0, nat = 4, ntyp = 3
/
ATOMIC_SPECIES
Pr 140.91 Pr.upf
Er 167.26 Er.upf
Sb 121.76 Sb.upf
CELL_PARAMETERS angstrom
-1.688 0.284 3.613
1.487 -2.085 3.071
5.757 6.715 4.374
ATOMIC_POSITIONS angstrom
Pr 2.764 2.440 5.524
Er 4.598 5.259 3.947
Er 1.096 0.861 2.657
Sb -0.126 -1.189 4.459
```



Entry 2:
A plane-wave DFT calculation with PBE was carried out for a geometry-optimized Tc2PIr2 structure. Values from VASP.

## Properties
- offset from the most stable computed form (kcal/mol of atoms) = 2.83

```
&SYSTEM
  ibrav = 0, nat = 5, ntyp = 3
/
ATOMIC_SPECIES
P 30.97 P.upf
Ir 192.22 Ir.upf
Tc 98.00 Tc.upf
CELL_PARAMETERS angstrom
-3.184 0.681 -1.344
-0.333 -3.382 -0.927
-4.461 -2.658 4.605
ATOMIC_POSITIONS angstrom
P 0.000 0.000 0.000
Ir -4.702 -1.663 1.062
Ir -3.276 -3.695 1.271
Tc -2.291 -1.608 -0.005
Tc -5.687 -3.751 2.338
```